Here is a geometry-optimized La4Pr7Nd structure from Alexandria via LeMat-Bulk. Energies are from PBE.

```
12
Lattice="6.917 -1.684 2.157 0.598 5.844 2.662 2.276 -1.562 10.859" Properties=species:S:1:pos:R:3 pbc="T T T"
Pr 4.301 0.946 12.729
Pr 8.072 1.690 7.544
La 5.170 0.062 9.212
Pr 6.045 -0.811 5.671
Nd 0.000 0.000 0.000
Pr 3.745 3.409 10.007
Pr 5.489 1.652 2.948
Pr 3.458 -0.842 1.079
Pr 1.718 0.908 8.134
La 4.620 2.536 6.466
La 2.592 0.031 4.600
La 7.199 2.567 11.078
```

Calculated values
- Mass density: 6.398 g/cm3
- E above lowest polymorph: 0.000 kcal/mol of atoms
- Size of the total moment: 0.000 μB per formula unit
- ΔE_f: 0.012 eV/atom